! La2Pr5Ho3 PBE relaxed; values from VASP
&SYSTEM
  ibrav = 0, nat = 20, ntyp = 3
/
ATOMIC_SPECIES
La 138.91 La.upf
Pr 140.91 Pr.upf
Ho 164.93 Ho.upf
CELL_PARAMETERS angstrom
0.208 7.916 -6.010
-9.142 -3.920 0.664
2.936 2.586 8.658
ATOMIC_POSITIONS angstrom
La 2.181 9.527 0.721
La -8.179 -2.946 2.591
La -4.387 1.348 5.306
La -1.611 5.234 -1.994
Pr -1.488 2.320 7.116
Pr -4.510 4.262 -3.804
Pr -5.131 6.119 -1.379
Pr -0.645 4.065 1.221
Pr -0.867 0.462 4.690
Pr -5.353 2.516 2.090
Pr -3.223 6.562 1.693
Pr -2.775 0.020 1.619
Pr 0.991 4.390 4.434
Pr -6.989 2.191 -1.122
Ho -0.014 2.176 -1.246
Ho -5.985 4.406 4.557
Ho -3.428 2.880 -0.664
Ho -2.570 3.702 3.976
Ho -6.359 -0.600 1.251
Ho 0.361 7.181 2.061
! **Energy**: -4.575 eV/atom
! **DFT formation energy**: 0.17 eV per atom
! **Magnetic moment**: 0.00 μB per formula unit

! Ca2Pr6Er PBE relaxed; values from VASP
&SYSTEM
  ibrav = 0, nat = 18, ntyp = 3
/
ATOMIC_SPECIES
Ca 40.08 Ca.upf
Pr 140.91 Pr.upf
Er 167.26 Er.upf
CELL_PARAMETERS angstrom
-3.341 -6.024 -2.134
11.252 -2.605 3.366
-6.595 -4.224 5.862
ATOMIC_POSITIONS angstrom
Ca -0.702 -6.344 5.759
Ca -0.968 -3.285 3.797
Ca 2.018 -6.509 1.335
Ca 2.284 -9.568 3.297
Pr 3.266 -6.364 5.013
Pr 2.734 -3.155 2.731
Pr -1.950 -6.489 2.080
Pr -1.418 -9.698 4.363
Pr 5.984 -8.478 3.639
Pr 5.313 -5.263 2.190
Pr -4.668 -4.375 3.455
Pr -3.997 -7.590 4.904
Pr 8.307 -2.971 2.343
Pr 8.354 -5.908 3.974
Pr -6.991 -9.882 4.751
Pr -7.038 -6.945 3.120
Er 0.165 -1.689 0.563
Er 1.151 -11.164 6.531
! **Energy**: -4.013 eV/atom
! **DFT formation energy**: 0.13 eV per atom
! **Magnetic moment**: 0.00 μB per formula unit

! ZrAlPCl2 PBE relaxed; values from VASP
&SYSTEM
  ibrav = 0, nat = 5, ntyp = 4
/
ATOMIC_SPECIES
P 30.97 P.upf
Al 26.98 Al.upf
Zr 91.22 Zr.upf
Cl 35.45 Cl.upf
CELL_PARAMETERS angstrom
-0.571 -0.723 4.977
-3.160 -3.846 -0.921
3.973 -3.260 -0.018
ATOMIC_POSITIONS angstrom
P 1.986 -1.630 -0.009
Al 0.121 -3.915 2.019
Zr 0.000 0.000 0.000
Cl -1.580 -1.923 -0.461
Cl -0.285 -0.362 2.489
! **Raw formation energy**: -0.522 eV/atom
! **Energy**: -4.801 eV/atom
! **Energy above the lowest structure with this stoichiometry**: 0 meV per atom
! **Magnetic moment**: 0.00 μB per formula unit

Question: Look up the magnetic moment of the first one.
Answer: 0.00 μB per formula unit